! CuAg2Rh | the Alexandria database | PBE | optimized geometry; values from VASP
&SYSTEM
  ibrav = 0, nat = 8, ntyp = 3
/
ATOMIC_SPECIES
Cu 63.55 Cu.upf
Ag 107.87 Ag.upf
Rh 102.91 Rh.upf
CELL_PARAMETERS angstrom
-1.884 1.884 9.588
1.884 -1.884 9.588
1.884 1.884 -9.588
ATOMIC_POSITIONS crystal
Cu 0.000 0.000 0.000
Cu 0.750 0.250 0.500
Ag 0.122 0.625 0.997
Ag 0.375 0.372 0.497
Ag 0.628 0.125 0.003
Ag 0.875 0.878 0.503
Rh 0.250 0.750 0.500
Rh 0.500 0.500 0.000
! Total magnetic moment (μB/cell): 0.000
! Relative energy among the computed polymorphs (meV per atom): 347.6
! V (Å³ per cell): 136